Below is a relaxed Hf2Zn2Ru crystal, with properties calculated at the PBE level.

```
Hf2Zn2Ru
1.0
6.860 0.000 0.000
0.000 6.860 0.000
0.000 0.000 3.617
Ru Zn Hf
2 4 4
Direct
0.000 0.000 0.000
0.500 0.500 0.000
0.375 0.875 0.000
0.875 0.625 0.000
0.625 0.125 0.000
0.125 0.375 0.000
0.179 0.679 0.500
0.679 0.821 0.500
0.821 0.321 0.500
0.321 0.179 0.500
```

Results
* magnetization: 0.00 μB/f.u.
* formation energy: -0.2104 eV/atom
* final energy: -6.557 eV/atom

=====

Below is a relaxed Cs3Br3N crystal, with properties calculated at the PBE level.

```
Cs3Br3N
1.0
-1.347 -1.745 -9.064
8.625 -1.145 3.362
-1.277 -8.986 1.458
Cs Br N
6 6 2
Direct
0.014 0.014 0.761
0.494 0.132 0.236
0.132 0.494 0.236
0.506 0.868 0.764
0.868 0.506 0.764
0.986 0.986 0.239
0.343 0.343 0.929
0.178 0.822 0.500
0.822 0.178 0.500
0.180 0.820 0.000
0.820 0.180 0.000
0.657 0.657 0.071
0.308 0.308 0.130
0.692 0.692 0.870
```

Results
* magnetization: 1.00 μB/f.u.
* formation energy (no corrections): -800 meV per atom
* final energy: -3.072 eV/atom

=====

Below is a relaxed MnGa2RuS crystal, with properties calculated at the PBE level.

```
MnGa2RuS
1.0
4.600 0.000 0.000
0.000 3.949 0.000
0.000 0.000 4.600
Ru S Mn Ga
1 1 1 2
Direct
0.500 0.500 0.500
0.000 0.000 0.000
0.000 0.500 0.000
0.000 0.000 0.500
0.500 0.000 0.000
```

Results
* magnetization: 0.57 μB/f.u.
* formation energy (no corrections): 853 meV per atom
* final energy: -4.872 eV/atom